VASP calculation (GGA-PBE) on crystalline LaHfTh at its relaxed geometry.

Output
D(E_F) = 1.8672 states/eV/atom
formation energy from the elements = 26.52 kJ per mole of atoms

Unit cell a=5.4911 b=5.4911 c=3.4692 alpha=90.00 beta=90.00 gamma=120.00
Last column: nearest neighbours and their distance in Å.
Space group P3m1 (No. 156)
Unique sites:
La 0.0000 0.0000 0.0000  2 La 3.47, 6 Hf 3.59-3.64, 6 Th 3.61-3.62
Hf 0.6667 0.3333 0.4869  3 Th 3.17, 2 Hf 3.47
Th 0.3333 0.6667 0.5052  3 Hf 3.17, 2 Th 3.47